# BaSc2Te, relaxed, DFT PBE
data_BaSc2Te
_space_group_name_H-M_alt 'P 1'
_space_group_IT_number 1
_space_group_name_Hall 'P 1'
_cell_length_a 4.9921
_cell_length_b 4.8245
_cell_length_c 4.8245
_cell_angle_alpha 90.00
_cell_angle_beta 90.00
_cell_angle_gamma 90.00
loop_
_atom_site_label
_atom_site_type_symbol
_atom_site_fract_x
_atom_site_fract_y
_atom_site_fract_z
Ba1 Ba 0.5000 0.0000 0.5000
Sc1 Sc 0.0000 0.0000 0.0000
Sc2 Sc 0.0000 0.5000 0.5000
Te1 Te 0.5000 0.5000 0.0000
# D(E_F): 5.9 states/eV per cell
# Symmetry: P4/mmm
# Formation energy without anion corrections: -0.7 eV/f.u.
# Final energy: -4.61 eV per atom